A plane-wave DFT calculation with PBE was carried out for a relaxed structure of Pm2Ni9Sn.

Cell and atoms, written as POSCAR:
```
Pm2Ni9Sn
1.0
-0.454 4.071 -2.765
1.071 -0.156 -4.822
-7.621 -0.705 -4.202
Ni Sn Pm
9 1 2
direct
0.667 0.667 0.999
0.581 0.581 0.756
0.581 0.082 0.756
0.419 0.419 0.244
0.333 0.333 0.001
0.082 0.581 0.756
0.419 0.918 0.244
0.500 0.500 0.500
0.918 0.419 0.244
0.000 0.000 0.000
0.864 0.864 0.408
0.136 0.136 0.592
```

Calculated values
As for the total energy: -67.87 eV per formula unit. The energy of formation comes out at -0.19 eV per atom.

=====

A plane-wave DFT calculation with PBE was carried out for a relaxed structure of Mg6Ag5Pb.

Cell and atoms, written as POSCAR:
```
Mg6Ag5Pb
1.0
-3.835 2.656 -0.315
-0.764 -1.908 -6.793
-5.820 -4.277 1.855
Mg Ag Pb
6 5 1
direct
0.174 0.262 0.655
0.500 0.732 0.000
0.826 0.738 0.345
0.500 0.268 0.000
0.174 0.738 0.655
0.826 0.262 0.345
0.673 0.000 0.655
0.327 0.000 0.345
0.665 0.500 0.674
0.335 0.500 0.326
0.000 0.500 0.000
0.000 0.000 0.000
```

Calculated values
As for the total energy: -29.74 eV per formula unit. The energy of formation comes out at -0.18 eV per atom.

=====

A plane-wave DFT calculation with PBE was carried out for a relaxed structure of Al3TePb.

Cell and atoms, written as POSCAR:
```
Al3TePb
1.0
5.436 0.000 0.000
0.000 5.436 0.000
0.000 0.000 5.436
Al Te Pb
3 1 1
direct
0.000 0.000 0.500
0.500 0.000 0.000
0.000 0.500 0.000
0.500 0.500 0.500
0.000 0.000 0.000
```

Calculated values
The uncorrected formation energy is 0.7377 eV/atom. As for the total energy: -14.39 eV per formula unit. The energy above the most stable polymorph in this dataset comes out at 0.000 kcal/mol of atoms.